[1]
Here is crystalline Ac2CeHoAs4 at its relaxed geometry from Alexandria. Energies are from PBE-GGA.

Output
- E (hartree per atom) = -0.225
- volume (Å³ per cell) = 234
- Fermi-level density of states (states/eV per atom) = 0.761
- space group = P2/m
- energy of formation from the pure elements (eV/atom) = -1.449

Unit cell a=4.355 b=7.560 c=7.525 alpha=70.61 beta=90.00 gamma=90.00
Last column: magnetic moment on the atom in μB.
Fractional positions:
As 0.000 0.728 0.755  -0.01
Ac 0.500 0.000 0.500  0.00
Ce 0.500 0.500 0.000  0.58
Ho 0.000 0.500 0.500  0.00
As 0.500 0.273 0.741  -0.01
As 0.000 0.272 0.245  -0.01
As 0.500 0.727 0.259  -0.01
Ac 0.000 0.000 0.000  0.00


[2]
Here is crystalline LiAc2PbSe4 at its relaxed geometry from Alexandria. Energies are from PBE-GGA.

Output
- E (hartree per atom) = -0.179
- volume (Å³ per cell) = 242
- Fermi-level density of states (states/eV per atom) = 0.529
- space group = P2/m
- raw formation energy (eV per atom) = -1.399

Unit cell a=4.539 b=7.337 c=7.749 alpha=69.41 beta=90.00 gamma=90.00
Fractional positions:
Pb 0.000 0.500 0.500
Ac 0.000 0.000 0.000
Se 0.000 0.743 0.759
Se 0.500 0.259 0.758
Se 0.500 0.741 0.242
Ac 0.500 0.000 0.500
Se 0.000 0.257 0.241
Li 0.500 0.500 0.000


[3]
Here is crystalline FeReBi2Rh at its relaxed geometry from Alexandria. Energies are from PBE-GGA.

Output
- E (hartree per atom) = -0.210
- volume (Å³ per cell) = 124
- Fermi-level density of states (states/eV per atom) = 1.020
- space group = P4/mmm
- energy of formation from the pure elements (eV/atom) = 1.484

Unit cell a=5.146 b=4.692 c=5.146 alpha=90.00 beta=90.00 gamma=90.00
Last column: magnetic moment on the atom in μB.
Fractional positions:
Re 0.500 0.500 0.500  2.77
Fe 0.000 0.500 0.000  3.16
Bi 0.000 0.000 0.500  -0.09
Bi 0.500 0.000 0.000  -0.13
Rh 0.000 0.000 0.000  0.16


[4]
Here is crystalline LiGa2Hg3 at its relaxed geometry from Alexandria. Energies are from PBE-GGA.

Output
- E (hartree per atom) = -0.057
- volume (Å³ per cell) = 256
- Fermi-level density of states (states/eV per atom) = 0.292
- space group = C2/m
- energy of formation from the pure elements (eV/atom) = -0.082

Unit cell a=8.527 b=8.603 c=6.617 alpha=66.83 beta=37.43 gamma=60.29
Fractional positions:
Li 0.666 0.668 0.000
Hg 0.832 0.341 0.747
Ga 0.666 0.669 0.500
Ga 0.000 0.000 0.500
Hg 0.500 0.000 0.245
Ga 0.334 0.331 0.500
Li 0.334 0.332 0.000
Ga 0.000 0.000 0.000
Hg 0.173 0.659 0.747
Hg 0.500 0.000 0.755
Hg 0.827 0.341 0.253
Hg 0.168 0.659 0.253


[5]
Here is crystalline RbLaTe2O6 at its relaxed geometry from Alexandria. Energies are from PBE-GGA.

Output
- E (hartree per atom) = -0.222
- volume (Å³ per cell) = 396
- Fermi-level density of states (states/eV per atom) = 0.000
- space group = C2/c
- raw formation energy (eV per atom) = -1.843

Unit cell a=7.260 b=7.260 c=7.933 alpha=97.18 beta=97.18 gamma=104.72
Fractional positions:
O 0.083 0.554 0.759
La 0.429 0.571 0.750
O 0.762 0.794 0.342
Te 0.086 0.315 0.342
O 0.206 0.238 0.158
Te 0.914 0.685 0.658
Te 0.685 0.914 0.158
O 0.446 0.917 0.741
Rb 0.820 0.180 0.750
O 0.473 0.692 0.064
O 0.238 0.206 0.658
Te 0.315 0.086 0.842
La 0.571 0.429 0.250
O 0.692 0.473 0.564
O 0.917 0.446 0.241
O 0.554 0.083 0.259
O 0.527 0.308 0.936
O 0.794 0.762 0.842
O 0.308 0.527 0.436
Rb 0.180 0.820 0.250


[6]
Here is crystalline SrCd2InH at its relaxed geometry from Alexandria. Energies are from PBE-GGA.

Output
- E (hartree per atom) = -0.075
- volume (Å³ per cell) = 114
- Fermi-level density of states (states/eV per atom) = 0.400
- space group = P4/mmm

Unit cell a=4.970 b=4.970 c=4.629 alpha=90.00 beta=90.00 gamma=90.00
Fractional positions:
Cd 0.000 0.500 0.000
Sr 0.000 0.000 0.500
In 0.500 0.500 0.500
Cd 0.500 0.000 0.000
H 0.000 0.000 0.000


[7]
Here is crystalline Tl2CrRe at its relaxed geometry from Alexandria. Energies are from PBE-GGA.

Output
- E (hartree per atom) = -0.207
- volume (Å³ per cell) = 80
- Fermi-level density of states (states/eV per atom) = 1.121
- space group = Cmmm
- energy of formation from the pure elements (eV/atom) = 1.060
- energy above the lowest structure with this stoichiometry (meV/atom) = 544

Unit cell a=3.072 b=3.072 c=9.454 alpha=90.00 beta=90.00 gamma=116.71
Last column: magnetic moment on the atom in μB.
Fractional positions:
Tl 0.000 0.000 0.500  -0.03
Re 0.500 0.500 0.750  -0.49
Tl 0.000 0.000 0.000  -0.03
Cr 0.500 0.500 0.250  3.58


[8]
Here is crystalline YCoMo2 at its relaxed geometry from Alexandria. Energies are from PBE-GGA.

Output
- E (hartree per atom) = -0.311
- volume (Å³ per cell) = 68
- Fermi-level density of states (states/eV per atom) = 1.262
- space group = P4mm
- energy of formation from the pure elements (eV/atom) = 0.342
- energy above the lowest structure with this stoichiometry (meV/atom) = 146

Unit cell a=2.852 b=2.852 c=8.351 alpha=90.00 beta=90.00 gamma=90.00
Last column: magnetic moment on the atom in μB.
Fractional positions:
Mo 0.500 0.500 0.225  -0.01
Co 0.500 0.500 0.786  0.25
Y 0.000 0.000 0.527  0.00
Mo 0.000 0.000 0.962  0.02


[9]
Here is crystalline ZnOsRu2 at its relaxed geometry from Alexandria. Energies are from PBE-GGA.

Output
- E (hartree per atom) = -0.272
- volume (Å³ per cell) = 56
- Fermi-level density of states (states/eV per atom) = 1.317
- space group = P4/mmm
- energy of formation from the pure elements (eV/atom) = 0.358

Unit cell a=3.721 b=3.896 c=3.896 alpha=90.00 beta=90.00 gamma=90.00
Fractional positions:
Ru 0.000 0.500 0.500
Ru 0.000 0.000 0.000
Zn 0.500 0.500 0.000
Os 0.500 0.000 0.500


[10]
Here is crystalline TlGeCl2 at its relaxed geometry from Alexandria. Energies are from PBE-GGA.

Output
- E (hartree per atom) = -0.114
- volume (Å³ per cell) = 128
- Fermi-level density of states (states/eV per atom) = 0.521
- space group = R-3m
- energy above the lowest structure with this stoichiometry (meV/atom) = 0
- raw formation energy (eV per atom) = -0.445

Unit cell a=10.083 b=10.083 c=10.083 alpha=22.18 beta=22.18 gamma=22.18
Fractional positions:
Cl 0.115 0.115 0.115
Ge 0.500 0.500 0.500
Cl 0.885 0.885 0.885
Tl 0.000 0.000 0.000


[11]
Here is crystalline Mg2BeNi at its relaxed geometry from Alexandria. Energies are from PBE-GGA.

Output
- E (hartree per atom) = -0.113
- volume (Å³ per cell) = 56
- Fermi-level density of states (states/eV per atom) = 0.518
- space group = F-43m
- energy of formation from the pure elements (eV/atom) = 0.102

Unit cell a=4.301 b=4.301 c=4.301 alpha=60.00 beta=60.00 gamma=60.00
Fractional positions:
Mg 0.250 0.250 0.250
Mg 0.000 0.000 0.000
Ni 0.750 0.750 0.750
Be 0.500 0.500 0.500


[12]
Here is crystalline Hf4In2Rh at its relaxed geometry from Alexandria. Energies are from PBE-GGA.

Output
- E (hartree per atom) = -0.267
- volume (Å³ per cell) = 177
- Fermi-level density of states (states/eV per atom) = 1.081
- space group = I4/mmm
- energy of formation from the pure elements (eV/atom) = 0.259

Unit cell a=4.835 b=4.835 c=8.316 alpha=73.10 beta=73.10 gamma=90.00
Fractional positions:
In 0.635 0.635 0.729
In 0.365 0.365 0.271
Hf 0.174 0.174 0.653
Rh 0.000 0.000 0.000
Hf 0.500 0.000 0.000
Hf 0.826 0.826 0.347
Hf 0.000 0.500 0.000